## CaMgGa4 (PBE-GGA)

Data for an optimized crystal structure of CaMgGa4.

Computed properties:
* N(E_F): 2.82 states/eV/f.u.
* crystal system: cubic
* space group: No. 216
* energy of formation from the pure elements: -0.259 eV/atom

a = 5.568 Å, b = 5.568 Å, c = 5.568 Å
α = 60.00°, β = 60.00°, γ = 60.00°
Element x y z (fractional)
Mg 0.250 0.250 0.250
Ga 0.625 0.625 0.625
Ga 0.625 0.625 0.125
Ga 0.625 0.125 0.625
Ga 0.125 0.625 0.625
Ca 0.000 0.000 0.000